(1)
SmCo4Sn: optimized geometry, PBE.

Structure (POSCAR):
```
SmCo4Sn
1.0
0.0000 3.5686 3.5686
3.5686 0.0000 3.5686
3.5686 3.5686 0.0000
Sm Co Sn
1 4 1
Direct
0.0000 0.0000 0.0000
0.1270 0.6243 0.6243
0.6243 0.1270 0.6243
0.6243 0.6243 0.1270
0.6243 0.6243 0.6243
0.2500 0.2500 0.2500
```

space-group type: F-43m, No. 216
energy of formation: -0.0805 eV/atom
magnetic moment: 5.2 μB per cell

***

(2)
AcCeSe: optimized geometry, PBE.

Structure (POSCAR):
```
AcCeSe
1.0
8.9982 0.0000 0.0000
0.0000 5.9651 0.0000
-3.0218 0.0000 7.2323
Ac Ce Se
4 4 4
Direct
0.1709 0.1255 0.3847
0.1709 0.3745 0.8847
0.8291 0.6255 0.1153
0.8291 0.8745 0.6153
0.4619 0.6247 0.6772
0.4619 0.8753 0.1772
0.5381 0.1247 0.8228
0.5381 0.3753 0.3228
0.2177 0.6119 0.2716
0.2177 0.8881 0.7716
0.7823 0.1119 0.2284
0.7823 0.3881 0.7284
```

space-group type: P2_1/c, No. 14
E above lowest polymorph: 0.00 eV per formula unit
ΔE_f (raw): -288 kJ/mol of formula units
magnetic moment: 4.4 μB per cell

***

(3)
Pm3OsO6: optimized geometry, PBE.

Structure (POSCAR):
```
Pm3OsO6
1.0
4.5743 -5.7655 0.0000
4.5743 5.7655 0.0000
0.0000 0.0000 5.7812
Pm Os O
6 2 12
Direct
0.0997 0.9003 0.5000
0.2006 0.4049 0.5501
0.4049 0.2006 0.0501
0.5950 0.7994 0.5501
0.7994 0.5950 0.0501
0.9003 0.0997 0.0000
0.2914 0.7086 0.0666
0.7086 0.2914 0.5666
0.0838 0.6013 0.2902
0.1424 0.1730 0.2790
0.1730 0.1424 0.7790
0.2836 0.7164 0.7494
0.3987 0.9162 0.2902
0.4413 0.5587 0.2881
0.5587 0.4413 0.7881
0.6013 0.0838 0.7902
0.7164 0.2836 0.2494
0.8270 0.8576 0.2790
0.8576 0.8270 0.7790
0.9162 0.3987 0.7902
```

space-group type: Cmc2_1, No. 36
ΔE_f (raw): -2428 kJ/mol of formula units
magnetic moment: 1.9 μB per cell

***

(4)
Rb2CaIrBr6: optimized geometry, PBE.

Structure (POSCAR):
```
Rb2CaIrBr6
1.0
-3.8945 3.8945 5.4247
3.8945 -3.8945 5.4247
3.8945 3.8945 -5.4247
Rb Ca Ir Br
2 1 1 6
Direct
0.2500 0.7500 0.5000
0.7500 0.2500 0.5000
0.0000 0.0000 0.0000
0.5000 0.5000 0.0000
0.2607 0.2607 0.5214
0.2607 0.7393 0.0000
0.2664 0.2664 0.0000
0.7336 0.7336 0.0000
0.7393 0.2607 0.0000
0.7393 0.7393 0.4786
```

space-group type: I4/mmm, No. 139
ΔE_f (raw): -1124 kJ/mol of formula units
magnetic moment: 1.0 μB per cell